# LiCdCu2N

A relaxed LiCdCu2N crystal (PBE, the Alexandria database).

CIF file:
```
data_LiCdCu2N
_chemical_formula_sum 'Li1 Cd1 Cu2 N1'
_cell_length_a 4.011
_cell_length_b 4.011
_cell_length_c 4.619
_cell_angle_alpha 90.00
_cell_angle_beta 90.00
_cell_angle_gamma 90.00
_space_group_name_H-M_alt 'P 4/m m m'
_space_group_IT_number 123
_space_group_name_Hall '-P 4 2'
loop_
_atom_site_label
_atom_site_fract_x
_atom_site_fract_y
_atom_site_fract_z
Li1 0.000 0.000 0.000
Cd1 0.000 0.000 0.500
Cu1 0.000 0.500 0.000
N1 0.500 0.500 0.500
```

**DOS at the Fermi energy**: 0.592 states/eV/cell
**Total magnetic moment**: 0.0 μB per cell
**E**: -2.372 eV per atom
**Uncorrected formation energy**: 1.50 eV/atom